1.
Li3Tb2Ni12Ge | PBE | relaxed

Cell and atoms, written as CIF:
```
data_Li3Tb2Ni12Ge
_chemical_formula_sum 'Li9 Tb6 Ni36 Ge3'
_space_group_name_H-M_alt 'R -3 m'
_space_group_IT_number 166
_space_group_name_Hall '-R 3 2"'
_cell_length_a 5.1338
_cell_length_b 5.1338
_cell_length_c 33.7975
_cell_angle_alpha 90.00
_cell_angle_beta 90.00
_cell_angle_gamma 120.00
loop_
_atom_site_label
_atom_site_fract_x
_atom_site_fract_y
_atom_site_fract_z
Li1 0.0000 0.5000 0.0000
Tb1 0.0000 0.0000 0.1403
Ni1 0.0022 0.5011 0.1102
Ni2 0.0206 0.5103 0.6100
Ge1 0.0000 0.0000 0.5000
```

Results
Total magnetic moment, μB per cell: 6.7
E_form, kJ/mol of formula units: 23

2.
PmNpGa2O8 | PBE | relaxed

Cell and atoms, written as CIF:
```
data_PmNpGa2O8
_chemical_formula_sum 'Pm2 Np2 Ga4 O16'
_space_group_name_H-M_alt 'C 1 2/m 1'
_space_group_IT_number 12
_space_group_name_Hall '-C 2y'
_cell_length_a 7.3332
_cell_length_b 6.2065
_cell_length_c 7.3804
_cell_angle_alpha 90.00
_cell_angle_beta 90.41
_cell_angle_gamma 90.00
loop_
_atom_site_label
_atom_site_fract_x
_atom_site_fract_y
_atom_site_fract_z
Pm1 0.0000 0.0000 0.0000
Np1 0.0000 0.0000 0.5000
Ga1 0.0019 0.5000 0.1898
O1 0.0005 0.2193 0.2713
O2 0.1797 0.5000 0.0000
O3 0.2484 0.0000 0.5032
```

Results
Total magnetic moment, μB per cell: 0.0
ΔE_f (raw), kJ/mol of atoms: -227

Repeat the first record exactly.
Li3Tb2Ni12Ge | PBE | relaxed

Cell and atoms, written as CIF:
```
data_Li3Tb2Ni12Ge
_chemical_formula_sum 'Li9 Tb6 Ni36 Ge3'
_space_group_name_H-M_alt 'R -3 m'
_space_group_IT_number 166
_space_group_name_Hall '-R 3 2"'
_cell_length_a 5.1338
_cell_length_b 5.1338
_cell_length_c 33.7975
_cell_angle_alpha 90.00
_cell_angle_beta 90.00
_cell_angle_gamma 120.00
loop_
_atom_site_label
_atom_site_fract_x
_atom_site_fract_y
_atom_site_fract_z
Li1 0.0000 0.5000 0.0000
Tb1 0.0000 0.0000 0.1403
Ni1 0.0022 0.5011 0.1102
Ni2 0.0206 0.5103 0.6100
Ge1 0.0000 0.0000 0.5000
```

Results
Total magnetic moment, μB per cell: 6.7
E_form, kJ/mol of formula units: 23

> Look up the total magnetic moment of the second one.

0.0 μB per cell

> Among the records above, which one has the lowest total magnetic moment?

PmNpGa2O8